[1]
AlSI | Alexandria via LeMat-Bulk | GGA-PBE | optimized geometry; ΔE_f (raw) = -0.86 eV/atom; crystal system = orthorhombic
1.0
-2.807 2.444 -0.950
-1.862 -5.264 -8.047
-3.484 -2.940 2.729
S I Al
2 2 2
direct
0.500 0.412 0.414 S
0.000 0.588 0.914 S
0.000 0.169 0.956 I
0.500 0.831 0.456 I
0.500 0.604 0.664 Al
0.000 0.396 0.164 Al

---

[2]
Sm5Ga4Pd | Alexandria via LeMat-Bulk | GGA-PBE | optimized geometry; DFT formation energy = -612 meV/atom; crystal system = tetragonal
1.0
3.629 0.000 0.000
0.000 3.629 0.000
0.000 0.000 18.250
Sm Ga Pd
5 4 1
direct
0.500 0.500 0.701 Sm
0.500 0.500 0.299 Sm
0.500 0.500 0.500 Sm
0.500 0.500 0.904 Sm
0.500 0.500 0.096 Sm
0.000 0.000 0.600 Ga
0.000 0.000 0.400 Ga
0.000 0.000 0.802 Ga
0.000 0.000 0.198 Ga
0.000 0.000 0.000 Pd

---

[3]
Ac3La5Hg2 | Alexandria via LeMat-Bulk | GGA-PBE | optimized geometry; DFT formation energy = -123 meV/atom; crystal system = tetragonal
1.0
5.328 0.000 0.000
0.000 11.754 0.000
0.000 0.000 11.754
La Hg Ac
10 4 6
direct
0.500 0.453 0.288 La
0.500 0.288 0.547 La
0.500 0.047 0.788 La
0.500 0.000 0.500 La
0.500 0.788 0.953 La
0.500 0.212 0.047 La
0.500 0.500 0.000 La
0.500 0.953 0.212 La
0.500 0.712 0.453 La
0.500 0.547 0.712 La
0.000 0.388 0.112 Hg
0.000 0.612 0.888 Hg
0.000 0.888 0.388 Hg
0.000 0.112 0.612 Hg
0.000 0.188 0.312 Ac
0.000 0.688 0.188 Ac
0.000 0.812 0.688 Ac
0.000 0.000 0.000 Ac
0.000 0.312 0.812 Ac
0.000 0.500 0.500 Ac

---

[4]
MgTl2Ru | Alexandria via LeMat-Bulk | GGA-PBE | optimized geometry; DFT formation energy = 323 meV/atom; ΔE to the lowest computed polymorph = 0.099 eV per atom; crystal system = monoclinic
1.0
-0.277 3.748 -3.452
-3.361 3.356 -1.866
0.819 4.318 2.662
Ru Tl Mg
1 2 1
direct
0.250 0.250 0.250 Ru
0.511 0.511 0.481 Tl
0.989 0.989 0.019 Tl
0.750 0.750 0.750 Mg

---

[5]
Pu2TeP | Alexandria via LeMat-Bulk | GGA-PBE | optimized geometry; ΔE_f (raw) = -1.12 eV/atom; ΔE to the lowest computed polymorph = 0.025 eV per atom; crystal system = hexagonal
1.0
-2.053 2.396 -2.728
-0.531 -4.137 -0.045
-10.844 1.291 9.295
Pu Te P
4 2 2
direct
0.333 0.667 0.394 Pu
0.667 0.333 0.606 Pu
0.333 0.667 0.106 Pu
0.667 0.333 0.894 Pu
0.667 0.333 0.250 Te
0.333 0.667 0.750 Te
0.000 0.000 0.500 P
0.000 0.000 0.000 P

---

[6]
Mn2BeCo2 | Alexandria via LeMat-Bulk | GGA-PBE | optimized geometry; DFT formation energy = 457 meV/atom; ΔE to the lowest computed polymorph = 0.160 eV per atom; crystal system = tetragonal
1.0
-2.670 -1.436 -0.314
1.120 -2.410 1.493
-2.666 0.448 5.832
Be Co Mn
1 2 2
direct
0.000 0.000 0.000 Be
0.593 0.593 0.814 Co
0.407 0.407 0.186 Co
0.250 0.750 0.500 Mn
0.750 0.250 0.500 Mn